First-principles (PBE with a Hubbard U) data for an optimized crystal structure of Cs2ReNiF6, as listed in the Alexandria database.

- crystal system = tetragonal
- ρ (kg/m³) = 5803
- final energy (eV per cell) = -47.4

Cell: 5.993 5.993 6.537 Å, 62.72 62.72 90.00°
Each line ends with the local moment (μB).
Element x y z (fractional)
Cs1 0.750 0.250 0.500  0.00
Cs2 0.250 0.750 0.500  0.00
Re1 0.000 0.000 0.000  1.64
F1 0.202 0.202 0.596  0.06
F2 0.798 0.798 0.404  0.06
F3 0.250 0.250 0.000  0.02
F4 0.750 0.750 0.000  0.02
F5 0.750 0.250 0.000  0.02
F6 0.250 0.750 0.000  0.02
Ni1 0.500 0.500 0.000  0.99